A relaxed structure of BaTbSi3Au. Source: OQMD via LeMat-Bulk, functional PBE.

extended XYZ file:
```
12
Lattice="-2.207 0.843 8.308 0.746 5.784 6.167 -5.328 2.973 0.707" Properties=species:S:1:pos:R:3 pbc="T T T"
Si -2.787 5.375 9.756
Au -2.074 6.048 12.293
Si -4.277 6.450 6.165
Si -4.003 4.226 5.426
Si -3.674 7.021 8.315
Si -2.512 3.150 9.017
Au -4.715 3.552 2.888
Tb -5.353 4.335 8.264
Tb -1.436 5.266 6.918
Si -3.116 2.579 6.866
Ba -5.092 7.200 11.386
Ba -1.697 2.400 3.795
```

## Properties
E above lowest polymorph, kJ/mol of formula units: 0
Total magnetization, μB/cell: 0.01
Crystal system: orthorhombic

***

A relaxed structure of BaYSi3Au. Source: OQMD via LeMat-Bulk, functional PBE.

extended XYZ file:
```
12
Lattice="0.000 4.498 7.368 4.194 0.000 7.368 4.194 4.498 0.000" Properties=species:S:1:pos:R:3 pbc="T T T"
Si 6.335 4.498 8.522
Si 6.335 4.498 6.213
Ba 2.097 2.249 3.684
Si 4.194 4.498 12.408
Si 2.053 4.498 6.213
Ba 6.290 6.747 11.052
Si 2.053 4.498 8.522
Au 4.194 4.498 9.704
Au 4.194 4.498 5.031
Y 4.194 6.885 7.368
Si 4.194 4.498 2.328
Y 4.194 2.111 7.368
```

## Properties
E above lowest polymorph, kJ/mol of formula units: 0
Total magnetization, μB/cell: 0.00
Crystal system: orthorhombic